1.
This record from Alexandria describes a geometry-optimized Ba2AcZn structure. The functional is PBE-GGA.

Cell lengths 6.3479, 6.3479, 4.3398 Å; angles 90.00, 90.00, 90.00 degrees
Space group P4/mmm (No. 123)
Symmetry-distinct sites (fractional):
Ba 0.0000 0.5000 0.0000
Ac 0.0000 0.0000 0.5000
Zn 0.5000 0.5000 0.5000

Excess energy over the best structure of this formula in the dataset in eV/atom: 0.178
Spin magnetization in μB/atom: 0.0000

2.
This record from Alexandria describes a geometry-optimized BaAcZn structure. The functional is PBE-GGA.

Cell lengths 4.0476, 4.0476, 14.3893 Å; angles 90.00, 90.00, 90.00 degrees
Space group I4mm (No. 107)
Symmetry-distinct sites (fractional):
Ba 0.0000 0.0000 0.0000
Ac 0.0000 0.0000 0.2659
Zn 0.0000 0.0000 0.6504

Excess energy over the best structure of this formula in the dataset in eV/atom: 0.000
Spin magnetization in μB/atom: 0.0000

3.
This record from Alexandria describes a geometry-optimized Ba2AcZn structure. The functional is PBE-GGA.

Cell lengths 4.0837, 4.0837, 10.3593 Å; angles 90.00, 90.00, 90.00 degrees
Space group P4/mmm (No. 123)
Symmetry-distinct sites (fractional):
Ba 0.0000 0.0000 0.1929
Ac 0.5000 0.5000 0.5000
Zn 0.5000 0.5000 0.0000

Excess energy over the best structure of this formula in the dataset in eV/atom: 0.000
Spin magnetization in μB/atom: 0.0000

4.
This record from Alexandria describes a geometry-optimized BaAc2Zn6 structure. The functional is PBE-GGA.

Cell lengths 8.2619, 8.2619, 3.9669 Å; angles 90.00, 90.00, 120.00 degrees
Space group P6/mmm (No. 191)
Symmetry-distinct sites (fractional):
Ba 0.0000 0.0000 0.0000
Ac 0.3333 0.6667 0.0000
Zn 0.0000 0.3367 0.5000

Final energy in eV/atom: -2.22
Spin magnetization in μB/atom: 0.0000

5.
This record from Alexandria describes a geometry-optimized BaAc2Zn structure. The functional is PBE-GGA.

Cell lengths 4.1148, 4.1148, 34.8855 Å; angles 90.00, 90.00, 120.00 degrees
Space group R3m (No. 160, hexagonal axes)
Symmetry-distinct sites (fractional):
Ba 0.0000 0.0000 0.0000
Ac 0.0000 0.0000 0.2299
Ac 0.0000 0.0000 0.4352
Zn 0.0000 0.0000 0.8328

Excess energy over the best structure of this formula in the dataset in eV/atom: 0.086
Spin magnetization in μB/atom: 0.0000

6.
This record from Alexandria describes a geometry-optimized Ba3AcZn4 structure. The functional is PBE-GGA.

Cell lengths 4.0439, 4.0439, 16.3289 Å; angles 90.00, 90.00, 90.00 degrees
Space group P4/mmm (No. 123)
Symmetry-distinct sites (fractional):
Ba 0.0000 0.0000 0.0000
Ba 0.0000 0.0000 0.2557
Ac 0.0000 0.0000 0.5000
Zn 0.5000 0.5000 0.1272
Zn 0.5000 0.5000 0.3901

Final energy in eV/atom: -2.06
Spin magnetization in μB/atom: 0.0000

7.
This record from Alexandria describes a geometry-optimized Ba2AcZn6 structure. The functional is PBE-GGA.

Cell lengths 14.3911, 8.3092, 4.0725 Å; angles 90.00, 90.42, 90.00 degrees
Space group C2/m (No. 12)
Symmetry-distinct sites (fractional):
Ba 0.1666 0.0000 0.9998
Ac 0.0000 0.5000 0.0000
Zn 0.0000 0.1705 0.5000
Zn 0.1648 0.3352 0.4993

Final energy in eV/atom: -1.94
Spin magnetization in μB/atom: 0.0000

8.
This record from Alexandria describes a geometry-optimized BaAc4Zn5 structure. The functional is PBE-GGA.

Cell lengths 3.9458, 3.9458, 19.7447 Å; angles 90.00, 90.00, 90.00 degrees
Space group P4/mmm (No. 123)
Symmetry-distinct sites (fractional):
Ba 0.0000 0.0000 0.0000
Ac 0.0000 0.0000 0.2059
Ac 0.0000 0.0000 0.4014
Zn 0.5000 0.5000 0.1125
Zn 0.5000 0.5000 0.3035
Zn 0.5000 0.5000 0.5000

Final energy in eV/atom: -2.70
Spin magnetization in μB/atom: 0.0000

What did the eighth record say?
This record from Alexandria describes a geometry-optimized BaAc4Zn5 structure. The functional is PBE-GGA.

Cell lengths 3.9458, 3.9458, 19.7447 Å; angles 90.00, 90.00, 90.00 degrees
Space group P4/mmm (No. 123)
Symmetry-distinct sites (fractional):
Ba 0.0000 0.0000 0.0000
Ac 0.0000 0.0000 0.2059
Ac 0.0000 0.0000 0.4014
Zn 0.5000 0.5000 0.1125
Zn 0.5000 0.5000 0.3035
Zn 0.5000 0.5000 0.5000

Final energy in eV/atom: -2.70
Spin magnetization in μB/atom: 0.0000

Question: spin magnetization of number 3 (Ba2AcZn)?
Answer: 0.0000 μB/atom

Question: Number 1 is which compound?
Answer: Ba2AcZn

Question: Which value of spin magnetization does entry 8 give?
Answer: 0.0000 μB/atom